Record 1
VASP calculation (PBE) on crystalline TlB3H at its relaxed geometry.

Unit cell a=3.770 b=3.770 c=3.770 alpha=90.00 beta=90.00 gamma=90.00
Positions (direct):
1 B 0.000 0.500 0.000
2 B 0.000 0.000 0.500
3 Tl 0.500 0.500 0.500
4 B 0.500 0.000 0.000
5 H 0.000 0.000 0.000

Summary:
Energy above the most stable polymorph in this dataset = 0 meV/atom


Record 2
VASP calculation (PBE) on crystalline Tb4NdY10 at its relaxed geometry.

Unit cell a=10.750 b=8.818 c=8.818 alpha=68.19 beta=52.44 gamma=52.44
Positions (direct):
1 Tb 0.220 0.228 0.332
2 Y 0.952 0.094 0.341
3 Y 0.046 0.341 0.906
4 Y 0.250 0.500 0.500
5 Y 0.954 0.659 0.094
6 Y 0.750 0.500 0.500
7 Y 0.387 0.906 0.659
8 Y 0.048 0.906 0.659
9 Tb 0.448 0.332 0.772
10 Nd 0.000 0.000 0.000
11 Tb 0.780 0.772 0.668
12 Y 0.293 0.659 0.094
13 Y 0.613 0.094 0.341
14 Tb 0.552 0.668 0.228
15 Y 0.707 0.341 0.906

Summary:
Calculated formation energy = 0.482 eV/atom


Record 3
VASP calculation (PBE) on crystalline Sb6As7 at its relaxed geometry.

Unit cell a=9.343 b=9.343 c=9.343 alpha=42.84 beta=42.84 gamma=42.84
Positions (direct):
1 As 0.568 0.114 0.568
2 As 0.432 0.886 0.432
3 Sb 0.938 0.938 0.938
4 As 0.568 0.568 0.114
5 Sb 0.321 0.321 0.321
6 Sb 0.816 0.816 0.816
7 As 0.886 0.432 0.432
8 As 0.114 0.568 0.568
9 Sb 0.679 0.679 0.679
10 Sb 0.184 0.184 0.184
11 As 0.432 0.432 0.886
12 As 0.500 0.500 0.500
13 Sb 0.062 0.062 0.062

Summary:
ΔE_f (raw) = 363 meV per atom


Record 4
VASP calculation (PBE) on crystalline K2LiRuRh at its relaxed geometry.

Unit cell a=6.185 b=4.609 c=6.185 alpha=90.00 beta=90.00 gamma=90.00
Site moments in Bohr magnetons follow the coordinates.
Positions (direct):
1 Rh 0.000 0.000 0.000  0.13
2 Li 0.500 0.500 0.500  -0.01
3 Ru 0.000 0.500 0.000  0.63
4 K 0.000 0.000 0.500  0.00
5 K 0.500 0.000 0.000  0.00

Summary:
Calculated formation energy = 0.910 eV/atom


Record 5
VASP calculation (PBE) on crystalline La4TlHg5 at its relaxed geometry.

Unit cell a=3.959 b=3.959 c=18.684 alpha=90.00 beta=90.00 gamma=90.00
Site moments in Bohr magnetons follow the coordinates.
Positions (direct):
1 Hg 0.500 0.500 0.296  0.01
2 Hg 0.500 0.500 0.500  0.01
3 Hg 0.500 0.500 0.095  0.00
4 Hg 0.500 0.500 0.704  0.01
5 La 0.000 0.000 0.603  0.11
6 Hg 0.500 0.500 0.905  0.00
7 La 0.000 0.000 0.191  0.07
8 Tl 0.000 0.000 0.000  0.00
9 La 0.000 0.000 0.397  0.11
10 La 0.000 0.000 0.809  0.07

Summary:
Calculated formation energy = -0.431 eV/atom


Record 6
VASP calculation (PBE) on crystalline Th2TlAg at its relaxed geometry.

Unit cell a=3.365 b=3.365 c=12.099 alpha=82.01 beta=82.01 gamma=60.00
Positions (direct):
1 Ag 0.000 0.000 0.000
2 Tl 0.500 0.500 0.500
3 Th 0.087 0.087 0.738
4 Th 0.913 0.913 0.262

Summary:
Calculated formation energy = 0.302 eV/atom


no.,final energy (eV per cell)
1,-15.44
2,-80.69
3,-52.57
4,-16.19
5,-27.89
6,-18.85